# 1
Here is crystalline ZrTiBe3 at its relaxed geometry from the Alexandria database. Energies are from PBE-GGA.

Summary:
DOS at the Fermi energy   1.5 states/eV/f.u.
Distance to the lowest polymorph of the same formula   0.000 eV per formula unit
SG   Pm-3m, No. 221
Formation energy   0.849 eV/atom
Crystal system   cubic

Unit cell a=4.2440 b=4.2440 c=4.2440 alpha=90.00 beta=90.00 gamma=90.00
Closest atoms and distances in Å follow each position.
Positions (direct):
Zr 0.5000 0.5000 0.5000  12 Be 3.00
Ti 0.0000 0.0000 0.0000  6 Be 2.12
Be 0.0000 0.5000 0.0000  2 Ti 2.12
Be 0.5000 0.0000 0.0000  2 Ti 2.12
Be 0.0000 0.0000 0.5000  2 Ti 2.12

=====

# 2
Here is crystalline ZrTiBe10 at its relaxed geometry from the Alexandria database. Energies are from PBE-GGA.

Summary:
DOS at the Fermi energy   3.9 states/eV/f.u.
SG   Pmmm, No. 47
Formation energy   -0.232 eV/atom
Crystal system   orthorhombic

Unit cell a=3.4386 b=4.4667 c=7.7500 alpha=90.00 beta=90.00 gamma=90.00
Closest atoms and distances in Å follow each position.
Positions (direct):
Be 0.5000 0.2483 0.2429  8 Be 2.14-2.28
Be 0.5000 0.7517 0.2429  8 Be 2.14-2.28
Be 0.0000 0.5000 0.1575  6 Be 2.11-2.16
Ti 0.0000 0.0000 0.0000  14 Be 2.49-2.78
Be 0.5000 0.5000 0.0000  8 Be 2.11-2.19
Be 0.5000 0.0000 0.5000  8 Be 2.21-2.28
Be 0.0000 0.5000 0.8425  6 Be 2.11-2.16
Zr 0.0000 0.5000 0.5000  18 Be 2.63-2.86
Be 0.0000 0.0000 0.3218  6 Be 2.14-2.21
Be 0.0000 0.0000 0.6782  6 Be 2.14-2.21
Be 0.5000 0.2483 0.7571  8 Be 2.14-2.28
Be 0.5000 0.7517 0.7571  8 Be 2.14-2.28

=====

# 3
Here is crystalline ZrTiBe2 at its relaxed geometry from the Alexandria database. Energies are from PBE-GGA.

Summary:
DOS at the Fermi energy   3.3 states/eV/f.u.
Distance to the lowest polymorph of the same formula   1.947 eV per formula unit
SG   I-42d, No. 122
Formation energy   0.367 eV/atom
Crystal system   tetragonal

Unit cell a=6.9542 b=6.9542 c=5.4999 alpha=50.79 beta=50.79 gamma=90.00
Closest atoms and distances in Å follow each position.
Positions (direct):
Ti 0.5000 0.5000 0.0000  4 Be 2.46, 2 Zr 2.46
Be 0.1409 0.6250 0.2500  2 Ti 2.46, 2 Be 2.47, 2 Zr 2.61
Zr 0.7500 0.2500 0.5000  2 Ti 2.46, 4 Be 2.61
Be 0.6091 0.1250 0.2500  2 Ti 2.46, 2 Be 2.47, 2 Zr 2.61
Ti 0.2500 0.7500 0.5000  4 Be 2.46, 2 Zr 2.46
Zr 0.0000 0.0000 0.0000  2 Ti 2.46, 4 Be 2.61
Be 0.8750 0.8591 0.7500  2 Ti 2.46, 2 Be 2.47, 2 Zr 2.61
Be 0.3750 0.3909 0.7500  2 Ti 2.46, 2 Be 2.47, 2 Zr 2.61

=====

# 4
Here is crystalline ZrTiBe at its relaxed geometry from the Alexandria database. Energies are from PBE-GGA.

Summary:
DOS at the Fermi energy   2.4 states/eV/f.u.
Distance to the lowest polymorph of the same formula   0.567 eV per formula unit
SG   P3m1, No. 156
Formation energy   0.167 eV/atom
Crystal system   trigonal

Unit cell a=3.4949 b=4.1029 c=4.1029 alpha=120.00 beta=90.00 gamma=90.00
Closest atoms and distances in Å follow each position.
Positions (direct):
Be 0.2052 0.3333 0.6667  3 Ti 2.38
Ti 0.1414 0.0000 0.0000  3 Be 2.38
Zr 0.6534 0.6667 0.3333  6 Be 2.84-3.05, 6 Ti 2.92-2.97

=====

# 5
Here is crystalline ZrTiBe at its relaxed geometry from the Alexandria database. Energies are from PBE-GGA.

Summary:
DOS at the Fermi energy   3.2 states/eV/f.u.
Distance to the lowest polymorph of the same formula   0.000 eV per formula unit
SG   P4/nmm, No. 129
Formation energy   -0.022 eV/atom
Crystal system   tetragonal

Unit cell a=3.8145 b=3.8145 c=6.8665 alpha=90.00 beta=90.00 gamma=90.00
Closest atoms and distances in Å follow each position.
Positions (direct):
Ti 0.5000 0.5000 0.5000  4 Be 2.58, 4 Ti 2.70
Zr 0.0000 0.5000 0.8527  5 Be 2.70-2.78
Be 0.0000 0.5000 0.2462  4 Ti 2.58, 5 Zr 2.70-2.78
Be 0.5000 0.0000 0.7538  4 Ti 2.58, 5 Zr 2.70-2.78
Zr 0.5000 0.0000 0.1473  5 Be 2.70-2.78
Ti 0.0000 0.0000 0.5000  4 Be 2.58, 4 Ti 2.70

=====

# 6
Here is crystalline ZrTiBe2 at its relaxed geometry from the Alexandria database. Energies are from PBE-GGA.

Summary:
DOS at the Fermi energy   0.5 states/eV/f.u.
Distance to the lowest polymorph of the same formula   0.050 eV per formula unit
SG   Fm-3m, No. 225
Formation energy   -0.107 eV/atom
Crystal system   cubic

Unit cell a=4.3185 b=4.3185 c=4.3185 alpha=60.00 beta=60.00 gamma=60.00
Closest atoms and distances in Å follow each position.
Positions (direct):
Be 0.2500 0.2500 0.2500  4 Zr 2.64, 4 Ti 2.64
Be 0.7500 0.7500 0.7500  4 Ti 2.64, 4 Zr 2.64
Ti 0.0000 0.0000 0.0000  8 Be 2.64
Zr 0.5000 0.5000 0.5000  8 Be 2.64

=====

# 7
Here is crystalline Zr2TiBe2 at its relaxed geometry from the Alexandria database. Energies are from PBE-GGA.

Summary:
DOS at the Fermi energy   6.1 states/eV/f.u.
SG   P4/mbm, No. 127
Formation energy   -0.015 eV/atom
Crystal system   tetragonal

Unit cell a=7.1156 b=7.1156 c=3.2561 alpha=90.00 beta=90.00 gamma=90.00
Closest atoms and distances in Å follow each position.
Positions (direct):
Zr 0.1801 0.6801 0.5000  6 Be 2.65-2.68
Be 0.8885 0.6115 0.0000  1 Be 2.24
Be 0.1115 0.3885 0.0000  1 Be 2.24
Be 0.3885 0.8885 0.0000  1 Be 2.24
Ti 0.5000 0.5000 0.0000  4 Be 2.88, 8 Zr 3.08
Be 0.6115 0.1115 0.0000  1 Be 2.24
Zr 0.3199 0.1801 0.5000  6 Be 2.65-2.68
Zr 0.8199 0.3199 0.5000  6 Be 2.65-2.68
Ti 0.0000 0.0000 0.0000  4 Be 2.88, 8 Zr 3.08
Zr 0.6801 0.8199 0.5000  6 Be 2.65-2.68

=====

# 8
Here is crystalline ZrTi4Be5 at its relaxed geometry from the Alexandria database. Energies are from PBE-GGA.

Summary:
DOS at the Fermi energy   2.7 states/eV/f.u.
SG   P4/mmm, No. 123
Formation energy   -0.130 eV/atom
Crystal system   tetragonal

Unit cell a=2.9852 b=2.9852 c=14.8624 alpha=90.00 beta=90.00 gamma=90.00
Closest atoms and distances in Å follow each position.
Positions (direct):
Be 0.0000 0.0000 0.1168  4 Ti 2.52, 4 Zr 2.73, 1 Be 2.81
Be 0.0000 0.0000 0.3062  8 Ti 2.56, 1 Be 2.81
Ti 0.5000 0.5000 0.4033  8 Be 2.55-2.56
Be 0.0000 0.0000 0.8832  4 Ti 2.52, 4 Zr 2.73, 1 Be 2.81
Be 0.0000 0.0000 0.5000  8 Ti 2.55
Be 0.0000 0.0000 0.6938  8 Ti 2.56, 1 Be 2.81
Ti 0.5000 0.5000 0.2093  8 Be 2.52-2.56
Ti 0.5000 0.5000 0.5967  8 Be 2.55-2.56
Zr 0.5000 0.5000 0.0000  8 Be 2.73, 4 Zr 2.99
Ti 0.5000 0.5000 0.7907  8 Be 2.52-2.56